Entry 1:
A plane-wave DFT calculation with GGA-PBEsol was carried out for a relaxed BeGa3F crystal.

a b c (Å): 4.3651 4.3651 4.3651
angles (deg): 90.00 90.00 90.00
Space group Pm-3m (No. 221)
Inequivalent atoms, fractional coordinates:
Be 0.0000 0.0000 0.0000
Ga 0.0000 0.0000 0.5000
F 0.5000 0.5000 0.5000

Computed properties:
magnetic moment	0.00	μB per atom
DFT total energy	-3.361	eV/atom
ΔE_f (raw)	-0.1719	eV per atom

***

Entry 2:
A plane-wave DFT calculation with GGA-PBEsol was carried out for a relaxed BeGaF2 crystal.

a b c (Å): 5.8427 5.8427 5.8427
angles (deg): 90.00 90.00 90.00
Space group Fm-3m (No. 225)
Inequivalent atoms, fractional coordinates:
Be 0.0000 0.0000 0.0000
Ga 0.0000 0.0000 0.5000
F 0.2500 0.2500 0.2500

Computed properties:
magnetic moment	0.22	μB per atom
DFT total energy	-3.488	eV/atom
ΔE_f (raw)	-0.6894	eV per atom

***

Entry 3:
A plane-wave DFT calculation with GGA-PBEsol was carried out for a relaxed BeGaHF2 crystal.

a b c (Å): 4.4919 4.4919 2.6647
angles (deg): 90.00 90.00 90.00
Space group P4/mmm (No. 123)
Inequivalent atoms, fractional coordinates:
Be 0.0000 0.0000 0.0000
Ga 0.5000 0.5000 0.0000
H 0.0000 0.0000 0.5000
F 0.0000 0.5000 0.5000

Computed properties:
magnetic moment	0.00	μB per atom
DFT total energy	-3.674	eV/atom

***

Entry 4:
A plane-wave DFT calculation with GGA-PBEsol was carried out for a relaxed BeGaNF2 crystal.

a b c (Å): 3.0973 3.0973 5.0259
angles (deg): 90.00 90.00 90.00
Space group P4/mmm (No. 123)
Inequivalent atoms, fractional coordinates:
Be 0.0000 0.0000 0.0000
Ga 0.5000 0.5000 0.5000
N 0.0000 0.0000 0.5000
F 0.0000 0.5000 0.0000

Computed properties:
magnetic moment	0.00	μB per atom
DFT total energy	-5.319	eV/atom
ΔE_f (raw)	-1.3750	eV per atom